1.
This record from Alexandria via LeMat-Bulk describes a geometry-optimized Tb3Pt4 structure. The functional is PBEsol.

Structure (CIF):
```
data_Tb3Pt4
_chemical_formula_sum 'Tb18 Pt24'
_symmetry_space_group_name_H-M 'R -3'
_symmetry_Int_Tables_number 148
_symmetry_space_group_name_Hall '-R 3'
_cell_length_a 13.0684
_cell_length_b 13.0684
_cell_length_c 5.6626
_cell_angle_alpha 90.00
_cell_angle_beta 90.00
_cell_angle_gamma 120.00
loop_
_atom_site_label
_atom_site_type_symbol
_atom_site_fract_x
_atom_site_fract_y
_atom_site_fract_z
_atom_site_occupancy
Tb1 Tb 0.0429 0.8325 0.2375 1
Pt1 Pt 0.0000 0.0000 0.0000 1
Pt2 Pt 0.0000 0.0000 0.5000 1
Pt3 Pt 0.0538 0.7813 0.7209 1
```

2.
# Tc3Pt PBEsol optimized geometry
data_Tc3Pt
_chemical_formula_sum 'Tc6 Pt2'
_symmetry_space_group_name_H-M 'C m m m'
_symmetry_Int_Tables_number 65
_symmetry_space_group_name_Hall '-C 2 2'
_cell_length_a 5.427
_cell_length_b 7.716
_cell_length_c 2.696
_cell_angle_alpha 90.00
_cell_angle_beta 90.00
_cell_angle_gamma 90.00
loop_
_atom_site_label
_atom_site_type_symbol
_atom_site_fract_x
_atom_site_fract_y
_atom_site_fract_z
_atom_site_occupancy
Tc1 Tc 0.000 0.000 0.000 1
Tc2 Tc 0.250 0.250 0.500 1
Pt1 Pt 0.000 0.500 0.000 1
# Relative energy among the computed polymorphs (meV/atom): 187.4

3.
This record from Alexandria via LeMat-Bulk describes a geometry-optimized TcPt3 structure. The functional is PBEsol.

Structure (CIF):
```
data_TcPt3
_chemical_formula_sum 'Tc1 Pt3'
_symmetry_space_group_name_H-M 'P m -3 m'
_symmetry_Int_Tables_number 221
_symmetry_space_group_name_Hall '-P 4 2 3'
_cell_length_a 3.884
_cell_length_b 3.884
_cell_length_c 3.884
_cell_angle_alpha 90.00
_cell_angle_beta 90.00
_cell_angle_gamma 90.00
loop_
_atom_site_label
_atom_site_type_symbol
_atom_site_fract_x
_atom_site_fract_y
_atom_site_fract_z
_atom_site_occupancy
Tc1 Tc 0.000 0.000 0.000 1
Pt1 Pt 0.000 0.500 0.500 1
```

| no. | ΔH_f (0 K) (meV per atom) | energy (eV per atom) |
| --- | --- | --- |
| 1 | -1172 | -7.298 |
| 2 | -57 | -10.248 |
| 3 | -3 | -8.042 |